PBE-GGA Sm2PuO7, optimized geometry; space group = No. 15; formation energy from raw total energies = -2597 meV per atom; crystal system = monoclinic; total DFT energy (no corrections) = -8.44 eV per atom
1.0
5.901 0.000 2.878
2.423 6.077 2.520
-0.095 -0.345 7.685
O Sm Pu
14 4 2
Direct
0.250 0.057 0.642 O
0.934 0.250 0.473 O
0.123 0.065 0.169 O
0.357 0.435 0.331 O
0.877 0.935 0.831 O
0.643 0.565 0.669 O
0.344 0.750 0.973 O
0.492 0.750 0.250 O
0.066 0.750 0.527 O
0.750 0.943 0.358 O
0.052 0.557 0.142 O
0.656 0.250 0.027 O
0.948 0.443 0.858 O
0.508 0.250 0.750 O
0.222 0.603 0.804 Sm
0.778 0.397 0.196 Sm
0.372 0.103 0.304 Sm
0.628 0.897 0.696 Sm
0.835 0.250 0.750 Pu
0.165 0.750 0.250 Pu